No. 1
Computed, not measured: crystalline SiGePb2Au6 at its relaxed geometry at the PBE level of DFT.

```
SiGePb2Au6
1.0
-3.9002 1.0202 4.1485
5.6397 -2.6907 5.9639
3.0985 8.3822 0.8517
Au Ge Si Pb
12 2 2 4
Direct
0.2532 0.9966 0.0000
0.2468 0.0034 0.5000
0.2483 0.5185 0.0000
0.2517 0.4815 0.5000
0.7468 0.9966 0.0000
0.5000 0.1243 0.2506
0.0000 0.8757 0.2494
0.7517 0.5185 0.0000
0.7532 0.0034 0.5000
0.5000 0.1243 0.7494
0.7483 0.4815 0.5000
0.0000 0.8757 0.7506
0.0000 0.7281 0.5000
0.5000 0.2719 0.0000
0.5000 0.2499 0.5000
0.0000 0.7501 0.0000
0.0000 0.2832 0.7564
0.5000 0.7168 0.2564
0.0000 0.2832 0.2436
0.5000 0.7168 0.7436
```

electronic total energy: -75.0 eV for the cell shown
space-group type: Pmmn, No. 59
size of the total moment: 0.00 μB/cell
Fermi-level density of states: 4.060 states/eV/f.u.

***

No. 2
Computed, not measured: crystalline SnGe2PbAu6 at its relaxed geometry at the PBE level of DFT.

```
SnGe2PbAu6
1.0
-3.6933 -3.2310 5.5853
-2.6834 -5.9200 -3.6095
8.5641 -1.0857 1.2582
Sn Au Pb Ge
2 12 2 4
Direct
0.8874 0.1126 0.2500
0.1126 0.8874 0.7500
0.9819 0.5060 0.3187
0.3850 0.6546 0.9318
0.6546 0.3850 0.4318
0.0181 0.4940 0.6813
0.4940 0.0181 0.1813
0.1901 0.1053 0.5547
0.5060 0.9819 0.8187
0.6150 0.3454 0.0682
0.8099 0.8947 0.4453
0.1053 0.1901 0.0547
0.8947 0.8099 0.9453
0.3454 0.6150 0.5682
0.2381 0.7619 0.2500
0.7619 0.2381 0.7500
0.2626 0.3118 0.8864
0.6882 0.7374 0.6136
0.7374 0.6882 0.1136
0.3118 0.2626 0.3864
```

electronic total energy: -73.7 eV for the cell shown
space-group type: C2/c, No. 15
size of the total moment: 0.00 μB/cell
calculated formation energy: -0.025 eV/atom
Fermi-level density of states: 2.316 states/eV/f.u.

***

No. 3
Computed, not measured: crystalline Sn2Ge2PbAu7 at its relaxed geometry at the PBE level of DFT.

```
Sn2Ge2PbAu7
1.0
-1.7548 -3.7622 -0.0962
0.3055 -0.2329 4.1346
-15.5149 4.6380 3.6864
Au Ge Pb Sn
7 2 1 2
Direct
0.0653 0.5698 0.8491
0.5698 0.0653 0.8491
0.6989 0.6989 0.5975
0.4302 0.9347 0.1509
0.9347 0.4302 0.1509
0.3011 0.3011 0.4025
0.5000 0.5000 0.0000
0.3847 0.3847 0.2465
0.6153 0.6153 0.7535
0.0000 0.0000 0.0000
0.2117 0.2117 0.5739
0.7883 0.7883 0.4261
```

electronic total energy: -43.9 eV for the cell shown
space-group type: C2/m, No. 12
size of the total moment: 0.00 μB/cell
calculated formation energy: -0.002 eV/atom
Fermi-level density of states: 3.908 states/eV/f.u.

***

No. 4
Computed, not measured: crystalline SnGePb2Au6 at its relaxed geometry at the PBE level of DFT.

```
SnGePb2Au6
1.0
5.7166 0.0000 0.0000
0.0000 9.1930 0.0000
0.0000 0.0000 9.0999
Sn Au Ge Pb
2 12 2 4
Direct
0.0000 0.7269 0.5000
0.5000 0.2731 0.0000
0.7519 0.9987 0.5000
0.7517 0.5231 0.0000
0.0000 0.8925 0.7523
0.5000 0.1075 0.2523
0.7481 0.0013 0.0000
0.2519 0.0013 0.0000
0.2483 0.5231 0.0000
0.5000 0.1075 0.7477
0.2517 0.4769 0.5000
0.7483 0.4769 0.5000
0.0000 0.8925 0.2477
0.2481 0.9987 0.5000
0.5000 0.2474 0.5000
0.0000 0.7526 0.0000
0.0000 0.2786 0.2473
0.5000 0.7214 0.7473
0.5000 0.7214 0.2527
0.0000 0.2786 0.7527
```

electronic total energy: -71.9 eV for the cell shown
space-group type: Pmmn, No. 59
size of the total moment: 0.00 μB/cell
calculated formation energy: -0.026 eV/atom
Fermi-level density of states: 3.631 states/eV/f.u.

***

No. 5
Computed, not measured: crystalline SrGe2PbAu5 at its relaxed geometry at the PBE level of DFT.

```
SrGe2PbAu5
1.0
-1.0913 4.0017 -2.3949
-4.3735 -1.7321 -0.9014
-3.4323 4.2002 8.5824
Sr Ge Pb Au
1 2 1 5
Direct
0.0000 0.0000 0.5000
0.5000 0.5000 0.2586
0.5000 0.5000 0.7414
0.0000 0.0000 0.0000
0.5000 0.0000 0.1841
0.5000 0.0000 0.8159
0.0000 0.5000 0.1841
0.5000 0.5000 0.5000
0.0000 0.5000 0.8159
```

electronic total energy: -32.8 eV for the cell shown
space-group type: P4/mmm, No. 123
size of the total moment: 0.00 μB/cell
calculated formation energy: -0.194 eV/atom
Fermi-level density of states: 2.965 states/eV/f.u.

***

No. 6
Computed, not measured: crystalline Sr2Ge3PbAu4 at its relaxed geometry at the PBE level of DFT.

```
Sr2Ge3PbAu4
1.0
4.6015 0.0000 0.0000
0.0000 4.6015 0.0000
0.0000 0.0000 11.2157
Ge Au Sr Pb
3 4 2 1
Direct
0.0000 0.0000 0.5000
0.0000 0.5000 0.1204
0.5000 0.0000 0.8796
0.0000 0.0000 0.0000
0.5000 0.5000 0.0000
0.0000 0.5000 0.3458
0.5000 0.0000 0.6542
0.0000 0.5000 0.7665
0.5000 0.0000 0.2335
0.5000 0.5000 0.5000
```

electronic total energy: -38.7 eV for the cell shown
space-group type: P-4m2, No. 115
size of the total moment: 0.00 μB/cell
calculated formation energy: -0.463 eV/atom
Fermi-level density of states: 4.615 states/eV/f.u.

***

No. 7
Computed, not measured: crystalline Tl2Ge3PbAu12 at its relaxed geometry at the PBE level of DFT.

```
Tl2Ge3PbAu12
1.0
-2.7594 -6.6343 -1.1179
2.6320 -2.6610 6.2345
-6.0936 1.3926 3.7157
Au Tl Ge Pb
12 2 3 1
Direct
0.6302 0.0445 0.6302
0.1993 0.6908 0.1993
0.6908 0.1993 0.1993
0.8007 0.8007 0.3092
0.1993 0.1993 0.6908
0.3092 0.8007 0.8007
0.3698 0.3698 0.9555
0.3698 0.9555 0.3698
0.9555 0.3698 0.3698
0.6302 0.6302 0.0445
0.8007 0.3092 0.8007
0.0445 0.6302 0.6302
0.6160 0.6160 0.6160
0.3840 0.3840 0.3840
0.0000 0.0000 0.5000
0.5000 0.0000 0.0000
0.0000 0.5000 0.0000
0.0000 0.0000 0.0000
```

electronic total energy: -59.8 eV for the cell shown
space-group type: R-3m, No. 166
size of the total moment: 0.00 μB/cell
calculated formation energy: 0.102 eV/atom
Fermi-level density of states: 6.376 states/eV/f.u.

***

No. 8
Computed, not measured: crystalline Tl2GePbAu6 at its relaxed geometry at the PBE level of DFT.

```
Tl2GePbAu6
1.0
-0.9338 -7.1939 0.8028
5.8475 -1.4638 -6.3154
5.7683 -0.1489 5.3755
Au Ge Tl Pb
12 2 4 2
Direct
0.2890 0.4806 0.5000
0.7890 0.5194 0.0000
0.0000 0.9386 0.7522
0.2047 0.0779 0.5000
0.2110 0.5194 0.0000
0.2953 0.9221 0.0000
0.0000 0.9386 0.2478
0.7047 0.9221 0.0000
0.5000 0.0614 0.2522
0.5000 0.0614 0.7478
0.7110 0.4806 0.5000
0.7953 0.0779 0.5000
0.0000 0.7556 0.0000
0.5000 0.2444 0.5000
0.0000 0.3104 0.2524
0.0000 0.3104 0.7476
0.5000 0.6896 0.7524
0.5000 0.6896 0.2476
0.5000 0.3063 0.0000
0.0000 0.6937 0.5000
```

electronic total energy: -65.1 eV for the cell shown
space-group type: Pmmn, No. 59
size of the total moment: 0.00 μB/cell
calculated formation energy: 0.020 eV/atom
Fermi-level density of states: 2.837 states/eV/f.u.

***

No. 9
Computed, not measured: crystalline Ge2PdAu at its relaxed geometry at the PBE level of DFT.

```
Ge2PdAu
1.0
-4.7277 -2.0567 3.9200
-3.6453 -1.4452 -5.1547
-2.5916 -5.5416 -0.6825
Au Ge Pd
2 4 2
Direct
0.0000 0.0000 0.0000
0.7500 0.2500 0.5000
0.3750 0.3875 0.7500
0.1375 0.6250 0.2500
0.6125 0.1250 0.2500
0.8750 0.8625 0.7500
0.5000 0.5000 0.0000
0.2500 0.7500 0.5000
```

electronic total energy: -34.9 eV for the cell shown
space-group type: I-42d, No. 122
relative energy among the computed polymorphs: 19.0 kJ/mol of atoms
size of the total moment: 0.00 μB/cell
calculated formation energy: 0.061 eV/atom
Fermi-level density of states: 1.600 states/eV/f.u.

***

No. 10
Computed, not measured: crystalline Ge2PdAu at its relaxed geometry at the PBE level of DFT.

```
Ge2PdAu
1.0
-0.5086 3.1995 0.4027
-2.1900 -0.6420 2.3345
4.7583 0.1881 4.5154
Pd Ge Au
1 2 1
Direct
0.5000 0.5000 0.0000
0.0000 0.0000 0.2303
0.0000 0.0000 0.7697
0.5000 0.5000 0.5000
```

electronic total energy: -18.0 eV for the cell shown
space-group type: P4/mmm, No. 123
relative energy among the computed polymorphs: 7.1 kJ/mol of atoms
size of the total moment: 0.00 μB/cell
calculated formation energy: -0.062 eV/atom
Fermi-level density of states: 0.995 states/eV/f.u.

***

No. 11
Computed, not measured: crystalline Ge2PdAu2 at its relaxed geometry at the PBE level of DFT.

```
Ge2PdAu2
1.0
-5.1196 0.0893 -5.2570
-5.0196 -2.2662 4.8500
-0.7347 3.2779 0.7712
Pd Au Ge
2 4 4
Direct
0.0000 0.0000 0.0000
0.5000 0.5000 0.0000
0.3617 0.8617 0.0000
0.8617 0.6383 0.0000
0.1383 0.3617 0.0000
0.6383 0.1383 0.0000
0.6692 0.8308 0.5000
0.3308 0.1692 0.5000
0.8308 0.3308 0.5000
0.1692 0.6692 0.5000
```

electronic total energy: -41.3 eV for the cell shown
space-group type: P4/mbm, No. 127
relative energy among the computed polymorphs: 8.0 kJ/mol of atoms
size of the total moment: 0.00 μB/cell
calculated formation energy: 0.070 eV/atom
Fermi-level density of states: 2.192 states/eV/f.u.

***

No. 12
Computed, not measured: crystalline GePd14Au at its relaxed geometry at the PBE level of DFT.

```
GePd14Au
1.0
5.5684 -0.3061 0.0000
-2.4640 5.0030 0.0000
0.0000 0.0000 9.1572
Pd Ge Au
14 1 1
Direct
0.7060 0.7918 0.0000
0.3780 0.1281 0.2521
0.7065 0.2935 0.0000
0.0410 0.4558 0.5000
0.3780 0.1281 0.7479
0.3767 0.6233 0.7464
0.8719 0.6220 0.7479
0.8719 0.6220 0.2521
0.2082 0.2940 0.0000
0.2069 0.7931 0.0000
0.3767 0.6233 0.2536
0.5442 0.9590 0.5000
0.8748 0.1252 0.7536
0.8748 0.1252 0.2464
0.5428 0.4572 0.5000
0.0415 0.9585 0.5000
```

electronic total energy: -81.8 eV for the cell shown
space-group type: Amm2, No. 38
size of the total moment: 0.00 μB/cell
calculated formation energy: -0.075 eV/atom
Fermi-level density of states: 31.713 states/eV/f.u.

***

No. 13
Computed, not measured: crystalline Ge2PdAu at its relaxed geometry at the PBE level of DFT.

```
Ge2PdAu
1.0
0.0000 3.2720 3.2720
3.2720 0.0000 3.2720
3.2720 3.2720 0.0000
Pd Ge Au
1 2 1
Direct
0.0000 0.0000 0.0000
0.7500 0.7500 0.7500
0.2500 0.2500 0.2500
0.5000 0.5000 0.5000
```

electronic total energy: -17.8 eV for the cell shown
space-group type: Fm-3m, No. 225
relative energy among the computed polymorphs: 9.9 kJ/mol of atoms
size of the total moment: 0.00 μB/cell
calculated formation energy: -0.034 eV/atom
Fermi-level density of states: 2.336 states/eV/f.u.

***

No. 14
Computed, not measured: crystalline GePd4Au2 at its relaxed geometry at the PBE level of DFT.

```
GePd4Au2
1.0
-2.3088 5.8975 2.3603
-5.0779 -1.8642 -4.0529
1.4015 -4.5563 4.7932
Pd Au Ge
8 4 2
Direct
0.7393 0.1224 0.7960
0.8770 0.7260 0.7187
0.0072 0.1583 0.2813
0.9236 0.6279 0.1170
0.3728 0.5917 0.3490
0.3263 0.9433 0.2040
0.2427 0.0238 0.6509
0.5109 0.8066 0.8830
0.7404 0.8752 0.3656
0.6248 0.3086 0.1834
0.1254 0.4415 0.8167
0.5096 0.3749 0.6344
0.1581 0.1581 0.0000
0.0917 0.5917 0.5000
```

electronic total energy: -66.5 eV for the cell shown
space-group type: I2_12_12_1, No. 24
relative energy among the computed polymorphs: 0.0 kJ/mol of atoms
size of the total moment: 0.00 μB/cell
calculated formation energy: -0.190 eV/atom
Fermi-level density of states: 3.688 states/eV/f.u.

***

No. 15
Computed, not measured: crystalline Ge2Pd4Au at its relaxed geometry at the PBE level of DFT.

```
Ge2Pd4Au
1.0
4.0785 0.0000 0.0000
2.0392 3.5321 0.0000
2.0392 1.1774 8.5761
Ge Pd Au
2 4 1
Direct
0.8995 0.8995 0.3014
0.1005 0.1005 0.6986
0.2002 0.2002 0.3995
0.3959 0.3959 0.8123
0.7998 0.7998 0.6005
0.6041 0.6041 0.1877
0.0000 0.0000 0.0000
```

electronic total energy: -35.5 eV for the cell shown
space-group type: R-3m, No. 166
relative energy among the computed polymorphs: 0.0 kJ/mol of atoms
size of the total moment: 0.00 μB/cell
calculated formation energy: -0.312 eV/atom
Fermi-level density of states: 3.374 states/eV/f.u.

***

No. 16
Computed, not measured: crystalline Ge2PdAu at its relaxed geometry at the PBE level of DFT.

```
Ge2PdAu
1.0
3.6844 0.0000 0.0000
1.8422 3.1908 0.0000
1.8422 1.0636 6.4444
Ge Pd Au
2 1 1
Direct
0.0793 0.0793 0.7620
0.2565 0.2565 0.2304
0.6616 0.6616 0.0152
0.5025 0.5025 0.4924
```

electronic total energy: -17.8 eV for the cell shown
space-group type: R3m, No. 160
relative energy among the computed polymorphs: 9.7 kJ/mol of atoms
size of the total moment: 0.00 μB/cell
calculated formation energy: -0.036 eV/atom
Fermi-level density of states: 1.965 states/eV/f.u.

***

No. 17
Computed, not measured: crystalline Ge2Pd4Au at its relaxed geometry at the PBE level of DFT.

```
Ge2Pd4Au
1.0
3.6284 0.0000 -0.8364
-0.1928 3.6233 -0.8364
0.4405 0.4646 10.1992
Ge Au Pd
2 1 4
Direct
0.6560 0.6560 0.3119
0.3440 0.3440 0.6881
0.0000 0.0000 0.0000
0.8656 0.8656 0.7313
0.1344 0.1344 0.2687
0.2500 0.7500 0.5000
0.7500 0.2500 0.5000
```

electronic total energy: -33.8 eV for the cell shown
space-group type: I4/mmm, No. 139
relative energy among the computed polymorphs: 22.4 kJ/mol of atoms
size of the total moment: 0.00 μB/cell
calculated formation energy: -0.079 eV/atom
Fermi-level density of states: 2.410 states/eV/f.u.

***

No. 18
Computed, not measured: crystalline Ge2PdAu2 at its relaxed geometry at the PBE level of DFT.

```
Ge2PdAu2
1.0
-1.8800 1.9559 2.5686
-2.8144 0.4635 -2.4128
-5.1930 -4.4556 2.3091
Au Ge Pd
2 2 1
Direct
0.3998 0.3998 0.2004
0.6002 0.6002 0.7996
0.7500 0.2500 0.5000
0.2500 0.7500 0.5000
0.0000 0.0000 0.0000
```

electronic total energy: -20.1 eV for the cell shown
space-group type: I4/mmm, No. 139
relative energy among the computed polymorphs: 18.9 kJ/mol of atoms
size of the total moment: 0.00 μB/cell
calculated formation energy: 0.184 eV/atom
Fermi-level density of states: 2.126 states/eV/f.u.

***

No. 19
Computed, not measured: crystalline GePd4Au2 at its relaxed geometry at the PBE level of DFT.

```
GePd4Au2
1.0
4.6623 0.0000 0.0000
0.0000 4.6623 0.0000
2.3312 2.3312 6.5648
Pd Ge Au
4 1 2
Direct
0.1778 0.1778 0.6444
0.5000 0.0000 0.0000
0.0000 0.5000 0.0000
0.8222 0.8222 0.3556
0.0000 0.0000 0.0000
0.3814 0.3814 0.2373
0.6186 0.6186 0.7627
```

electronic total energy: -30.3 eV for the cell shown
space-group type: I4/mmm, No. 139
relative energy among the computed polymorphs: 41.4 kJ/mol of atoms
size of the total moment: 0.00 μB/cell
calculated formation energy: 0.239 eV/atom
Fermi-level density of states: 2.221 states/eV/f.u.

***

No. 20
Computed, not measured: crystalline Ge6Pd12Au at its relaxed geometry at the PBE level of DFT.

```
Ge6Pd12Au
1.0
-4.2654 3.7796 4.5311
-1.6202 -7.0365 0.9337
6.8548 0.9198 2.2749
Pd Ge Au
12 6 1
Direct
0.4031 0.1551 0.4031
0.8768 0.5000 0.1232
0.1232 0.5000 0.8768
0.8449 0.5969 0.5969
0.5969 0.5969 0.8449
0.8768 0.1232 0.5000
0.5000 0.1232 0.8768
0.5969 0.8449 0.5969
0.1551 0.4031 0.4031
0.1232 0.8768 0.5000
0.5000 0.8768 0.1232
0.4031 0.4031 0.1551
0.2673 0.6982 0.2673
0.2673 0.2673 0.6982
0.3018 0.7327 0.7327
0.6982 0.2673 0.2673
0.7327 0.7327 0.3018
0.7327 0.3018 0.7327
0.0000 0.0000 0.0000
```

electronic total energy: -99.4 eV for the cell shown
space-group type: R-3m, No. 166
size of the total moment: 0.00 μB/cell
calculated formation energy: -0.323 eV/atom
Fermi-level density of states: 4.697 states/eV/f.u.